# 1
Computed, not measured: Y2Tc after structural relaxation at the PBE level of DFT.

Structure (POSCAR):
```
Y2Tc
1.0
4.895 0.000 0.000
0.000 4.895 0.000
0.000 0.000 3.335
Y Tc
2 1
Direct
0.500 0.000 0.500 Y
0.000 0.500 0.500 Y
0.000 0.000 0.000 Tc
```

Properties
V: 26.63 Å³ per atom
Magnetic moment: 0.00 μB per formula unit
ΔH_f (0 K): 0.221 eV/atom
Density of states at the Fermi level: 3.00 states/eV/f.u.
DFT total energy: -22.6 eV per cell
E above lowest polymorph: 233.4 meV/atom


# 2
Computed, not measured: ScCo2W after structural relaxation at the PBE level of DFT.

Structure (POSCAR):
```
ScCo2W
1.0
4.963 0.010 0.000
2.286 4.406 0.000
-3.625 -2.208 2.573
Sc W Co
1 1 2
Direct
0.500 0.500 0.000 Sc
0.750 0.250 0.500 W
0.000 0.000 0.000 Co
0.250 0.750 0.500 Co
```

Properties
V: 14.05 Å³ per atom
Magnetic moment: 0.00 μB per formula unit
ΔH_f (0 K): 0.132 eV/atom
Density of states at the Fermi level: 3.28 states/eV/f.u.
DFT total energy: -33.0 eV per cell
E above lowest polymorph: 200.0 meV/atom


# 3
Computed, not measured: CdTcOs2 after structural relaxation at the PBE level of DFT.

Structure (POSCAR):
```
CdTcOs2
1.0
-0.932 2.592 0.309
-2.609 -0.937 -0.006
0.291 -0.866 8.142
Tc Cd Os
1 1 2
Direct
0.000 0.000 0.478 Tc
0.500 0.500 0.753 Cd
0.500 0.500 0.245 Os
0.000 0.000 0.025 Os
```

Properties
V: 15.74 Å³ per atom
Magnetic moment: 0.00 μB per formula unit
ΔH_f (0 K): 0.344 eV/atom
Density of states at the Fermi level: 5.11 states/eV/f.u.
DFT total energy: -32.4 eV per cell


# 4
Computed, not measured: LiCeLu2 after structural relaxation at the PBE level of DFT.

Structure (POSCAR):
```
LiCeLu2
1.0
3.576 0.000 0.000
0.000 5.483 0.000
0.000 0.000 5.483
Li Lu Ce
1 2 1
Direct
0.500 0.000 0.000 Li
0.000 0.000 0.500 Lu
0.000 0.500 0.000 Lu
0.500 0.500 0.500 Ce
```

Properties
V: 26.88 Å³ per atom
Magnetic moment: 0.41 μB per formula unit
ΔH_f (0 K): 0.216 eV/atom
Density of states at the Fermi level: 8.45 states/eV/f.u.
DFT total energy: -16.0 eV per cell
E above lowest polymorph: 96.3 meV/atom


# 5
Computed, not measured: HgIrW2 after structural relaxation at the PBE level of DFT.

Structure (POSCAR):
```
HgIrW2
1.0
-1.279 -4.184 -3.917
-0.544 -5.677 1.401
-1.630 5.630 0.355
Hg W Ir
1 2 1
Direct
0.482 0.482 0.000 Hg
0.779 0.279 0.500 W
0.015 0.015 0.000 W
0.224 0.724 0.500 Ir
```

Properties
V: 17.41 Å³ per atom
Magnetic moment: 0.00 μB per formula unit
ΔH_f (0 K): 0.510 eV/atom
Density of states at the Fermi level: 2.09 states/eV/f.u.
DFT total energy: -33.0 eV per cell


# 6
Computed, not measured: KB2Pt2 after structural relaxation at the PBE level of DFT.

Structure (POSCAR):
```
KB2Pt2
1.0
-1.446 1.550 3.712
2.407 -2.828 2.118
5.043 3.333 3.035
K B Pt
1 2 2
Direct
0.000 0.000 0.000 K
0.750 0.250 0.500 B
0.250 0.750 0.500 B
0.738 0.738 0.524 Pt
0.262 0.262 0.476 Pt
```

Properties
V: 22.12 Å³ per atom
Magnetic moment: 0.00 μB per formula unit
ΔH_f (0 K): 0.015 eV/atom
Density of states at the Fermi level: 1.75 states/eV/f.u.
DFT total energy: -26.5 eV per cell
E above lowest polymorph: 218.2 meV/atom


# 7
Computed, not measured: NbGeI2N after structural relaxation at the PBE level of DFT.

Structure (POSCAR):
```
NbGeI2N
1.0
-2.657 4.928 -1.168
-4.549 -2.902 -1.897
-1.531 0.033 3.622
I Ge Nb N
2 1 1 1
Direct
0.500 0.000 0.000 I
0.000 0.500 0.000 I
0.500 0.500 0.500 Ge
0.000 0.000 0.000 Nb
0.000 0.000 0.500 N
```

Properties
V: 25.73 Å³ per atom
Magnetic moment: 0.02 μB per formula unit
Density of states at the Fermi level: 3.70 states/eV/f.u.
DFT total energy: -24.5 eV per cell
E above lowest polymorph: 0.0 meV/atom
Energy relative to the elements, uncorrected: 0.31 eV/atom


# 8
Computed, not measured: Pu2USn after structural relaxation at the PBE level of DFT.

Structure (POSCAR):
```
Pu2USn
1.0
4.620 0.000 0.000
0.000 4.637 0.000
0.000 0.000 4.637
Pu Sn U
2 1 1
Direct
0.000 0.000 0.500 Pu
0.000 0.500 0.000 Pu
0.500 0.000 0.000 Sn
0.500 0.500 0.500 U
```

Properties
V: 24.83 Å³ per atom
Magnetic moment: 13.82 μB per formula unit
ΔH_f (0 K): -0.041 eV/atom
Density of states at the Fermi level: 13.75 states/eV/f.u.
DFT total energy: -44.1 eV per cell
E above lowest polymorph: 0.0 meV/atom


# 9
Computed, not measured: InBi3O6 after structural relaxation at the PBE level of DFT.

Structure (POSCAR):
```
InBi3O6
1.0
-3.872 -4.599 -3.533
1.504 -4.421 5.179
-5.435 2.868 3.296
Bi O In
6 12 2
Direct
0.557 0.082 0.249 Bi
0.443 0.918 0.751 Bi
0.918 0.751 0.443 Bi
0.249 0.557 0.082 Bi
0.751 0.443 0.918 Bi
0.082 0.249 0.557 Bi
0.057 0.307 0.943 O
0.396 0.197 0.529 O
0.803 0.471 0.604 O
0.307 0.943 0.057 O
0.693 0.057 0.943 O
0.057 0.943 0.693 O
0.529 0.396 0.197 O
0.197 0.529 0.396 O
0.604 0.803 0.471 O
0.943 0.693 0.057 O
0.943 0.057 0.307 O
0.471 0.604 0.803 O
0.500 0.500 0.500 In
0.000 0.000 0.000 In
```

Properties
V: 16.79 Å³ per atom
Magnetic moment: 0.00 μB per formula unit
Density of states at the Fermi level: 0.00 states/eV/f.u.
DFT total energy: -113.9 eV per cell
Energy relative to the elements, uncorrected: -1.28 eV/atom


# 10
Computed, not measured: Tc2MoAs after structural relaxation at the PBE level of DFT.

Structure (POSCAR):
```
Tc2MoAs
1.0
-1.639 0.736 -3.778
-0.275 -2.818 -0.429
-4.745 -1.261 1.813
As Tc Mo
1 2 1
Direct
0.000 0.341 0.509 As
0.500 0.382 0.244 Tc
0.000 0.035 0.005 Tc
0.500 0.743 0.742 Mo
```

Properties
V: 15.08 Å³ per atom
Magnetic moment: 0.00 μB per formula unit
ΔH_f (0 K): 0.067 eV/atom
Density of states at the Fermi level: 3.78 states/eV/f.u.
DFT total energy: -35.9 eV per cell


# 11
Computed, not measured: Ho5SnS5 after structural relaxation at the PBE level of DFT.

Structure (POSCAR):
```
Ho5SnS5
1.0
5.656 0.000 0.000
-2.828 5.878 -2.229
0.000 0.334 8.008
S Ho Sn
5 5 1
Direct
0.673 0.347 0.842 S
0.668 0.336 0.334 S
0.332 0.664 0.666 S
0.327 0.653 0.158 S
0.000 0.000 0.500 S
0.834 0.667 0.181 Ho
0.166 0.333 0.819 Ho
0.830 0.660 0.653 Ho
0.170 0.340 0.347 Ho
0.500 0.000 0.000 Ho
0.000 0.000 0.000 Sn
```

Properties
V: 24.59 Å³ per atom
Magnetic moment: 0.00 μB per formula unit
Density of states at the Fermi level: 2.49 states/eV/f.u.
DFT total energy: -66.7 eV per cell
Energy relative to the elements, uncorrected: -1.74 eV/atom


# 12
Computed, not measured: LaSn2P2 after structural relaxation at the PBE level of DFT.

Structure (POSCAR):
```
LaSn2P2
1.0
7.497 0.000 0.000
0.000 7.497 0.000
0.000 0.000 4.168
P Sn La
4 4 2
Direct
0.885 0.615 0.000 P
0.385 0.885 0.000 P
0.615 0.115 0.000 P
0.115 0.385 0.000 P
0.678 0.822 0.500 Sn
0.822 0.322 0.500 Sn
0.322 0.178 0.500 Sn
0.178 0.678 0.500 Sn
0.500 0.500 0.000 La
0.000 0.000 0.000 La
```

Properties
V: 23.43 Å³ per atom
Magnetic moment: 0.00 μB per formula unit
ΔH_f (0 K): -0.365 eV/atom
Density of states at the Fermi level: 3.02 states/eV/f.u.
DFT total energy: -51.2 eV per cell